VASP calculation (PBE-GGA) on an optimized crystal structure of SrCu2Pb2.

SG: I4/mmm, No. 139
ΔE_f: -0.111 eV per atom

Cell and atoms, written as POSCAR:
```
SrCu2Pb2
1.0
-1.368 3.405 -2.944
-4.501 -1.040 0.890
-2.943 4.876 3.248
Sr Pb Cu
1 2 2
direct
0.000 0.000 0.000
0.750 0.250 0.500
0.250 0.750 0.500
0.392 0.392 0.215
0.608 0.608 0.785
```

---

VASP calculation (PBE-GGA) on an optimized crystal structure of ScVAs3.

SG: Pm-3m, No. 221
energy above the lowest structure with this stoichiometry: 0 meV/atom
ΔE_f: -0.041 eV per atom

Cell and atoms, written as POSCAR:
```
ScVAs3
1.0
4.746 0.000 0.000
0.000 4.746 0.000
0.000 0.000 4.746
V As Sc
1 3 1
direct
0.000 0.000 0.000
0.500 0.000 0.000
0.000 0.500 0.000
0.000 0.000 0.500
0.500 0.500 0.500
```

---

VASP calculation (PBE-GGA) on an optimized crystal structure of Tb4NdMg.

SG: Cmc2_1, No. 36
energy above the lowest structure with this stoichiometry: 33 meV/atom
ΔE_f: 0.019 eV per atom

Cell and atoms, written as POSCAR:
```
Tb4NdMg
1.0
5.489 0.000 0.000
0.000 11.230 0.000
-2.744 0.000 6.077
Tb Mg Nd
8 2 2
direct
0.174 0.978 0.348
0.681 0.199 0.362
0.826 0.478 0.652
0.980 0.202 0.960
0.319 0.699 0.638
0.502 0.944 0.005
0.020 0.702 0.040
0.498 0.444 0.995
0.652 0.693 0.305
0.348 0.193 0.695
0.822 0.918 0.644
0.178 0.418 0.356
```

---

VASP calculation (PBE-GGA) on an optimized crystal structure of BeCo3Sn.

SG: Pm-3m, No. 221
energy above the lowest structure with this stoichiometry: 0 meV/atom
ΔE_f: 0.204 eV per atom

Cell and atoms, written as POSCAR:
```
BeCo3Sn
1.0
3.933 0.000 0.000
0.000 3.933 0.000
0.000 0.000 3.933
Sn Be Co
1 1 3
direct
0.500 0.500 0.500
0.000 0.000 0.000
0.500 0.000 0.000
0.000 0.500 0.000
0.000 0.000 0.500
```

---

VASP calculation (PBE-GGA) on an optimized crystal structure of Tb2Nd2Te7.

SG: Cmmm, No. 65
formation energy without anion corrections: -1.0166 eV/atom

Cell and atoms, written as POSCAR:
```
Tb2Nd2Te7
1.0
7.887 -0.003 0.255
0.005 6.963 0.001
-0.237 -0.004 7.888
Te Nd Tb
7 2 2
direct
0.500 0.740 0.000
0.000 0.740 0.500
0.500 0.749 0.500
0.500 0.260 0.000
0.000 0.000 0.000
0.000 0.260 0.500
0.500 0.251 0.500
0.266 0.000 0.734
0.734 0.000 0.266
0.280 0.500 0.280
0.720 0.500 0.720
```

---

VASP calculation (PBE-GGA) on an optimized crystal structure of Tb7Pm3Tm.

SG: P2/m, No. 10
energy above the lowest structure with this stoichiometry: 0 meV/atom
ΔE_f: 0.138 eV per atom

Cell and atoms, written as POSCAR:
```
Tb7Pm3Tm
1.0
8.380 -0.817 -2.895
-2.296 9.829 -0.630
-1.883 -0.106 5.221
Tb Pm Tm
7 3 1
direct
0.642 0.289 0.142
0.813 0.636 0.314
0.094 0.171 0.094
0.906 0.829 0.906
0.358 0.711 0.858
0.187 0.364 0.686
0.500 0.000 0.500
0.000 0.500 0.000
0.216 0.997 0.716
0.784 0.003 0.284
0.500 0.500 0.500
```

---

VASP calculation (PBE-GGA) on an optimized crystal structure of CaRuRh.

SG: P1, No. 1
energy above the lowest structure with this stoichiometry: 173 meV/atom
ΔE_f: 0.015 eV per atom

Cell and atoms, written as POSCAR:
```
CaRuRh
1.0
-3.426 2.382 -1.893
-0.433 -2.599 -3.762
-4.197 -3.584 2.776
Ru Ca Rh
2 2 2
direct
0.234 0.490 0.667
0.718 0.418 0.816
0.202 0.461 0.159
0.681 0.938 0.470
0.653 0.908 0.980
0.155 0.982 0.810
```

---

VASP calculation (PBE-GGA) on an optimized crystal structure of LiCaTb2Au4.

SG: R-3m, No. 166
ΔE_f: -0.753 eV per atom

Cell and atoms, written as POSCAR:
```
LiCaTb2Au4
1.0
5.005 0.000 0.000
2.502 4.334 0.000
2.502 1.445 8.146
Au Li Tb Ca
4 1 2 1
direct
0.876 0.876 0.373
0.124 0.124 0.627
0.379 0.379 0.864
0.621 0.621 0.136
0.500 0.500 0.500
0.755 0.755 0.736
0.245 0.245 0.264
0.000 0.000 0.000
```

---

| no. | DOS(E_F) (states/eV/cell) | uncorrected energy (eV per cell) |
| --- | --- | --- |
| 1 | 2.53 | -17.8 |
| 2 | 5.12 | -29.6 |
| 3 | 15.10 | -49.5 |
| 4 | 2.28 | -28.0 |
| 5 | 4.91 | -52.0 |
| 6 | 16.07 | -49.6 |
| 7 | 4.69 | -37.2 |
| 8 | 4.80 | -32.3 |